No. 1
An optimized crystal structure of Pm6Si2PBr3, computed with GGA-PBE. Values from VASP.

Output
Uncorrected formation energy = -14.70 eV per formula unit
DFT total energy = -5.37 eV/atom
Crystal system = monoclinic

Structure (Quantum ESPRESSO input):
```
&SYSTEM
  ibrav = 0, nat = 12, ntyp = 4
/
ATOMIC_SPECIES
Pm 145.00 Pm.upf
Si 28.09 Si.upf
P 30.97 P.upf
Br 79.90 Br.upf
ATOMIC_POSITIONS crystal
Pm 0.069 0.399 0.206
Pm 0.262 0.262 0.794
Pm 0.399 0.069 0.206
Pm 0.601 0.931 0.794
Pm 0.738 0.738 0.206
Pm 0.931 0.601 0.794
Si 0.333 0.667 0.000
Si 0.667 0.333 0.000
P 0.000 0.000 0.000
Br 0.168 0.832 0.500
Br 0.500 0.500 0.500
Br 0.832 0.168 0.500
CELL_PARAMETERS angstrom
3.635 -6.297 0.000
3.635 6.297 0.000
-2.420 0.000 7.308
```



No. 2
An optimized crystal structure of MgFe2Br, computed with GGA-PBE. Values from VASP.

Output
Energy relative to the lowest polymorph listed for this composition = 0.349 eV/atom
Uncorrected formation energy = 1.85 eV per formula unit
DFT total energy = -4.59 eV/atom
Crystal system = orthorhombic

Structure (Quantum ESPRESSO input):
```
&SYSTEM
  ibrav = 0, nat = 4, ntyp = 3
/
ATOMIC_SPECIES
Mg 24.30 Mg.upf
Fe 55.84 Fe.upf
Br 79.90 Br.upf
ATOMIC_POSITIONS crystal
Mg 0.000 0.000 0.000
Fe 0.000 0.500 0.500
Fe 0.500 0.000 0.500
Br 0.500 0.500 0.000
CELL_PARAMETERS angstrom
3.189 0.000 0.000
0.000 4.288 0.000
0.000 0.000 4.915
```



No. 3
An optimized crystal structure of LaAl2Ge2, computed with GGA-PBE. Values from VASP.

Output
DFT total energy = -4.54 eV/atom
Crystal system = tetragonal
Formation enthalpy at 0 K = -209 meV/atom

Structure (Quantum ESPRESSO input):
```
&SYSTEM
  ibrav = 0, nat = 10, ntyp = 3
/
ATOMIC_SPECIES
La 138.91 La.upf
Al 26.98 Al.upf
Ge 72.64 Ge.upf
ATOMIC_POSITIONS crystal
La 0.000 0.000 0.000
La 0.500 0.500 0.000
Al 0.120 0.380 0.000
Al 0.380 0.880 0.000
Al 0.620 0.120 0.000
Al 0.880 0.620 0.000
Ge 0.169 0.669 0.500
Ge 0.331 0.169 0.500
Ge 0.669 0.831 0.500
Ge 0.831 0.331 0.500
CELL_PARAMETERS angstrom
7.795 0.000 0.000
0.000 7.795 0.000
0.000 0.000 3.434
```



No. 4
An optimized crystal structure of Er3In3Hg2, computed with GGA-PBE. Values from VASP.

Output
DFT total energy = -3.23 eV/atom
Crystal system = hexagonal
Formation enthalpy at 0 K = -412 meV/atom

Structure (Quantum ESPRESSO input):
```
&SYSTEM
  ibrav = 0, nat = 8, ntyp = 3
/
ATOMIC_SPECIES
Er 167.26 Er.upf
In 114.82 In.upf
Hg 200.59 Hg.upf
ATOMIC_POSITIONS crystal
Er 0.000 0.607 0.000
Er 0.393 0.393 0.000
Er 0.607 0.000 0.000
In 0.000 0.233 0.500
In 0.233 0.000 0.500
In 0.767 0.767 0.500
Hg 0.333 0.667 0.500
Hg 0.667 0.333 0.500
CELL_PARAMETERS angstrom
8.035 0.000 0.000
-4.017 6.958 0.000
0.000 0.000 3.637
```



No. 5
An optimized crystal structure of TlOs2PdO8, computed with GGA-PBE. Values from VASP.

Output
Uncorrected formation energy = -9.60 eV per formula unit
DFT total energy = -6.61 eV/atom
Crystal system = monoclinic

Structure (Quantum ESPRESSO input):
```
&SYSTEM
  ibrav = 0, nat = 12, ntyp = 4
/
ATOMIC_SPECIES
Tl 204.38 Tl.upf
Os 190.23 Os.upf
Pd 106.42 Pd.upf
O 16.00 O.upf
ATOMIC_POSITIONS crystal
Tl 0.000 0.000 0.000
Os 0.448 0.448 0.758
Os 0.552 0.552 0.242
Pd 0.000 0.000 0.500
O 0.233 0.679 0.274
O 0.255 0.255 0.548
O 0.321 0.767 0.726
O 0.343 0.343 0.947
O 0.657 0.657 0.053
O 0.679 0.233 0.274
O 0.745 0.745 0.452
O 0.767 0.321 0.726
CELL_PARAMETERS angstrom
4.094 -3.436 0.000
4.094 3.436 0.000
-2.263 0.000 6.852
```



Q: The highest DFT total energy belongs to which entry?
A: Er3In3Hg2